PBE KSi2Pb, relaxed; formation energy (no corrections) = 123 kJ/mol of formula units; total magnetization = 0.00 Bohr magnetons per cell; space group = P2/m; DOS(E_F) = 0.223 states/eV per atom
1.0
-2.910 3.452 -2.335
-1.450 -2.531 -1.934
-5.017 -1.242 4.415
Pb K Si
1 1 2
Cartesian
-6.305 -1.104 0.693
-3.072 0.783 -0.547
-5.886 -3.620 1.983
-3.814 -2.039 1.739